VASP calculation (PBE) on ScIn3Pd after structural relaxation.

Summary:
ΔH_f (0 K): 379 kJ/mol of formula units
E: -3.162 eV/atom
space-group type: No. 221

Cell lengths 5.4619, 5.4619, 5.4619 Å; angles 90.00, 90.00, 90.00 degrees
Element x y z (fractional)
1 In 0.5000 0.0000 0.0000
2 In 0.0000 0.5000 0.0000
3 In 0.0000 0.0000 0.5000
4 Sc 0.0000 0.0000 0.0000
5 Pd 0.5000 0.5000 0.5000

VASP calculation (PBE) on Er3CoRh2 after structural relaxation.

Summary:
ΔH_f (0 K): -397 kJ/mol of formula units
E: -6.603 eV/atom
space-group type: No. 65

Cell lengths 4.7575, 7.5304, 6.7497 Å; angles 90.00, 90.00, 71.59 degrees
Element x y z (fractional)
1 Er 0.1682 0.6636 0.2460
2 Er 0.4999 0.0000 0.2477
3 Er 0.5001 0.0000 0.7523
4 Er 0.1683 0.6636 0.7540
5 Er 0.8317 0.3364 0.2460
6 Er 0.8318 0.3364 0.7540
7 Co 0.3330 0.3340 0.0000
8 Co 0.6670 0.6660 0.0000
9 Rh 0.3341 0.3319 0.5000
10 Rh 0.6659 0.6681 0.5000
11 Rh 0.0000 0.0000 0.5000
12 Rh 0.0000 0.0000 0.0000

VASP calculation (PBE) on Dy3TmGa4 after structural relaxation.

Summary:
ΔH_f (0 K): -446 kJ/mol of formula units
E: -4.376 eV/atom
space-group type: No. 166

Cell lengths 5.0266, 5.0266, 8.7325 Å; angles 73.27, 73.27, 60.00 degrees
Element x y z (fractional)
1 Ga 0.3744 0.3744 0.8767
2 Ga 0.1245 0.1245 0.6265
3 Ga 0.6256 0.6256 0.1233
4 Ga 0.8755 0.8755 0.3735
5 Dy 0.7495 0.7495 0.7514
6 Dy 0.5000 0.5000 0.5000
7 Dy 0.2505 0.2505 0.2486
8 Tm 0.0000 0.0000 0.0000

VASP calculation (PBE) on LiPr2H6Ru after structural relaxation.

Summary:
E: -4.478 eV/atom
space-group type: No. 164

Cell lengths 4.9787, 5.1035, 5.1035 Å; angles 120.00, 90.00, 90.00 degrees
Element x y z (fractional)
1 H 0.2213 0.3219 0.1609
2 H 0.2213 0.8391 0.6781
3 H 0.7787 0.6781 0.8391
4 H 0.7787 0.1609 0.8391
5 H 0.2213 0.8391 0.1609
6 H 0.7787 0.1609 0.3219
7 Pr 0.2386 0.3333 0.6667
8 Pr 0.7614 0.6667 0.3333
9 Li 0.5000 0.0000 0.0000
10 Ru 0.0000 0.0000 0.0000

VASP calculation (PBE) on Ag2SnBiS after structural relaxation.

Summary:
E: -2.944 eV/atom
space-group type: No. 123

Cell lengths 5.3028, 5.4879, 5.3028 Å; angles 90.00, 90.00, 90.00 degrees
Element x y z (fractional)
1 Sn 0.5000 0.5000 0.5000
2 Ag 0.5000 0.0000 0.0000
3 Ag 0.0000 0.0000 0.5000
4 S 0.0000 0.5000 0.0000
5 Bi 0.0000 0.0000 0.0000

VASP calculation (PBE) on PmCd4Pb after structural relaxation.

Summary:
ΔH_f (0 K): -82 kJ/mol of formula units
E: -2.162 eV/atom
space-group type: No. 216

Cell lengths 6.0134, 6.0134, 6.0134 Å; angles 60.00, 60.00, 60.00 degrees
Element x y z (fractional)
1 Cd 0.6250 0.6250 0.6250
2 Cd 0.6250 0.6250 0.1251
3 Cd 0.6250 0.1251 0.6250
4 Cd 0.1251 0.6250 0.6250
5 Pb 0.0000 0.0000 0.0000
6 Pm 0.2500 0.2500 0.2500